# Nd3InCo

An optimized crystal structure of Nd3InCo (PBE-GGA, Alexandria).

Summary:
- DFT total energy (eV/atom) = -5.02
- energy above the most stable polymorph in this dataset (meV per atom) = 0
- E_form (eV/atom) = -0.19

Lattice parameters (Å, degrees): 3.8578 6.6116 11.7899 102.86 90.00 106.96
Atoms (fractional coordinates):
Nd1 0.4904 0.9808 0.1441
Co1 0.5416 0.0832 0.6033
In1 0.1798 0.3597 0.0497
In2 0.8202 0.6403 0.9503
Co2 0.4584 0.9168 0.3967
Nd2 0.1840 0.3680 0.7310
Nd3 0.1110 0.2220 0.4188
Nd4 0.5096 0.0192 0.8559
Nd5 0.8890 0.7780 0.5812
Nd6 0.8160 0.6320 0.2690